{"formula": "Mn2FePb", "functional": "PBE-GGA", "state": "relaxed", "cell": [[2.7501, -4.4846, 0.0000], [2.7501, 4.4846, 0.0000], [-1.2359, 0.0000, 2.6429]], "species": ["Mn", "Mn", "Fe", "Pb"], "fractional_positions": [[0.0000, 0.5000, 0.0000], [0.5000, 0.0000, 0.0000], [0.0000, 0.0000, 0.5000], [0.5000, 0.5000, 0.5000]], "formation_energy_mev_per_atom": 623.6, "dos_ef_per_ev_fu": 3.8, "space_group": "C2/m (12)", "magmom_total_mub_per_cell": 8.97}